*w*
This record from Alexandria via LeMat-Bulk describes Ca3Hg at its PBEsol-relaxed geometry. The functional is meta-GGA SCAN.

```
Ca3Hg
1.0
3.882 0.000 0.000
0.000 5.730 0.000
-1.941 -2.865 5.902
Hg Ca
1 3
direct
0.000 0.500 0.000
0.500 0.000 0.000
0.297 0.297 0.594
0.703 0.703 0.406
```

Computed properties:
V: 131.3 Å³ per cell

*x*
This record from Alexandria via LeMat-Bulk describes Ca3Hg at its PBEsol-relaxed geometry. The functional is meta-GGA SCAN.

```
Ca3Hg
1.0
3.900 0.000 0.000
-1.950 3.378 0.000
0.000 0.000 10.642
Hg Ca
1 3
direct
0.333 0.667 0.500
0.333 0.667 0.000
0.000 0.000 0.701
0.000 0.000 0.299
```

Computed properties:
V: 140.2 Å³ per cell

*y*
This record from Alexandria via LeMat-Bulk describes Ca3Hg at its PBEsol-relaxed geometry. The functional is meta-GGA SCAN.

```
Ca3Hg
1.0
3.785 0.000 0.000
0.000 3.785 0.000
0.000 0.000 9.170
Hg Ca
1 3
direct
0.500 0.500 0.000
0.500 0.500 0.500
0.000 0.000 0.192
0.000 0.000 0.808
```

Computed properties:
V: 131.3 Å³ per cell

Least stable = *x*

*w*
This record from Alexandria via LeMat-Bulk describes Ca3Hg at its PBEsol-relaxed geometry. The functional is meta-GGA SCAN.

```
Ca3Hg
1.0
-1.831 4.244 -4.876
-3.290 -6.111 -4.084
-8.661 1.574 4.622
Ca Hg
12 4
direct
0.345 0.323 0.441
0.845 0.177 0.559
0.845 0.177 0.941
0.126 0.530 0.750
0.626 0.970 0.250
0.874 0.470 0.250
0.345 0.323 0.059
0.155 0.823 0.059
0.155 0.823 0.441
0.655 0.677 0.559
0.655 0.677 0.941
0.374 0.030 0.750
0.055 0.119 0.250
0.555 0.381 0.750
0.445 0.619 0.250
0.945 0.881 0.750
```

Computed properties:
V: 537.9 Å³ per cell

*x*
This record from Alexandria via LeMat-Bulk describes Ca3Hg at its PBEsol-relaxed geometry. The functional is meta-GGA SCAN.

```
Ca3Hg
1.0
-1.213 -4.023 4.783
-0.817 -5.271 -4.640
16.494 -3.584 1.169
Ca Hg
18 6
direct
0.509 0.764 0.000
0.732 0.248 0.685
0.200 0.000 0.630
0.491 0.264 0.500
0.996 0.000 0.000
0.732 0.752 0.685
0.200 0.000 0.370
0.732 0.248 0.315
0.268 0.252 0.185
0.491 0.736 0.500
0.268 0.748 0.815
0.268 0.748 0.185
0.268 0.252 0.815
0.732 0.752 0.315
0.004 0.500 0.500
0.509 0.236 0.000
0.800 0.500 0.870
0.800 0.500 0.130
0.866 0.000 0.500
0.694 0.000 0.154
0.306 0.500 0.346
0.306 0.500 0.654
0.134 0.500 0.000
0.694 0.000 0.846
```

Computed properties:
V: 761.5 Å³ per cell

Least stable = *x*

*w*
This record from Alexandria via LeMat-Bulk describes CaHg2I2 at its PBEsol-relaxed geometry. The functional is meta-GGA SCAN.

```
CaHg2I2
1.0
6.035 0.000 0.000
0.000 8.014 0.000
0.000 0.000 8.014
Hg I Ca
4 4 2
direct
0.500 0.136 0.636
0.500 0.864 0.364
0.500 0.636 0.864
0.500 0.364 0.136
0.000 0.167 0.333
0.000 0.333 0.833
0.000 0.667 0.167
0.000 0.833 0.667
0.000 0.000 0.000
0.000 0.500 0.500
```

Computed properties:
V: 387.6 Å³ per cell

*x*
This record from Alexandria via LeMat-Bulk describes CaHg2I2 at its PBEsol-relaxed geometry. The functional is meta-GGA SCAN.

```
CaHg2I2
1.0
-2.155 1.054 3.226
2.952 -1.302 2.398
3.836 9.373 -3.004
Hg I Ca
2 2 1
direct
0.750 0.250 0.500
0.250 0.750 0.500
0.411 0.411 0.822
0.589 0.589 0.178
0.000 0.000 0.000
```

Computed properties:
V: 164.4 Å³ per cell

Least stable = *w*

*w*
This record from Alexandria via LeMat-Bulk describes Li2CaHg2 at its PBEsol-relaxed geometry. The functional is meta-GGA SCAN.

```
Li2CaHg2
1.0
3.462 0.000 0.000
0.000 7.949 0.000
0.000 0.000 7.949
Hg Ca Li
4 2 4
direct
0.000 0.635 0.135
0.000 0.365 0.865
0.000 0.135 0.365
0.000 0.865 0.635
0.000 0.000 0.000
0.000 0.500 0.500
0.500 0.344 0.156
0.500 0.156 0.656
0.500 0.844 0.344
0.500 0.656 0.844
```

Computed properties:
V: 218.8 Å³ per cell

*x*
This record from Alexandria via LeMat-Bulk describes Li2CaHg2 at its PBEsol-relaxed geometry. The functional is meta-GGA SCAN.

```
Li2CaHg2
1.0
4.104 0.000 0.000
0.000 4.104 0.000
-2.052 -2.052 6.589
Li Hg Ca
2 2 1
direct
0.750 0.250 0.500
0.250 0.750 0.500
0.389 0.389 0.778
0.611 0.611 0.222
0.000 0.000 0.000
```

Computed properties:
V: 111.0 Å³ per cell

Least stable = *w*

*w*
This record from Alexandria via LeMat-Bulk describes CaMg2Hg2 at its PBEsol-relaxed geometry. The functional is meta-GGA SCAN.

```
CaMg2Hg2
1.0
4.326 0.000 0.000
0.000 4.326 0.000
-2.163 -2.163 6.488
Hg Mg Ca
2 2 1
direct
0.608 0.608 0.217
0.392 0.392 0.783
0.250 0.750 0.500
0.750 0.250 0.500
0.000 0.000 0.000
```

Computed properties:
V: 121.4 Å³ per cell

*x*
This record from Alexandria via LeMat-Bulk describes CaMg2Hg2 at its PBEsol-relaxed geometry. The functional is meta-GGA SCAN.

```
CaMg2Hg2
1.0
3.522 0.000 0.000
0.000 8.172 0.000
0.000 0.000 8.172
Mg Ca Hg
4 2 4
direct
0.500 0.154 0.654
0.500 0.346 0.154
0.500 0.654 0.846
0.500 0.846 0.346
0.000 0.500 0.500
0.000 0.000 0.000
0.000 0.859 0.641
0.000 0.641 0.141
0.000 0.141 0.359
0.000 0.359 0.859
```

Computed properties:
V: 235.2 Å³ per cell

Least stable = *x*

*w*
This record from Alexandria via LeMat-Bulk describes CaHg2Mo at its PBEsol-relaxed geometry. The functional is meta-GGA SCAN.

```
CaHg2Mo
1.0
3.040 0.000 0.000
0.000 3.040 0.000
0.000 0.000 8.641
Hg Mo Ca
2 1 1
direct
0.000 0.000 0.768
0.000 0.000 0.232
0.500 0.500 0.000
0.500 0.500 0.500
```

Computed properties:
V: 79.9 Å³ per cell

*x*
This record from Alexandria via LeMat-Bulk describes CaHg2Mo at its PBEsol-relaxed geometry. The functional is meta-GGA SCAN.

```
CaHg2Mo
1.0
-4.919 -0.343 -0.373
-2.509 -2.978 3.048
-2.887 1.930 3.521
Hg Mo Ca
2 1 1
direct
0.000 0.000 0.000
0.750 0.750 0.750
0.250 0.250 0.250
0.500 0.500 0.500
```

Computed properties:
V: 85.5 Å³ per cell

Least stable = *x*

*w*
This record from Alexandria via LeMat-Bulk describes Ca2HgP at its PBEsol-relaxed geometry. The functional is meta-GGA SCAN.

```
Ca2HgP
1.0
-3.619 -0.675 -3.522
1.382 -3.859 3.006
-3.182 -1.701 3.597
Ca Hg P
2 1 1
direct
0.750 0.500 0.750
0.250 0.500 0.250
0.000 0.000 0.000
0.500 0.000 0.500
```

Computed properties:
V: 93.1 Å³ per cell

*x*
This record from Alexandria via LeMat-Bulk describes Ca2HgP at its PBEsol-relaxed geometry. The functional is meta-GGA SCAN.

```
Ca2HgP
1.0
4.192 0.000 0.000
0.000 4.234 0.000
-2.096 0.000 5.466
Hg Ca P
1 2 1
direct
0.457 0.500 0.914
0.016 0.000 0.032
0.739 0.500 0.477
0.288 0.000 0.577
```

Computed properties:
V: 97.0 Å³ per cell

Least stable = *w*

*w*
This record from Alexandria via LeMat-Bulk describes Ca2HgP at its PBEsol-relaxed geometry. The functional is meta-GGA SCAN.

```
Ca2HgP
1.0
4.235 0.000 0.000
-2.117 3.671 -0.027
0.000 -2.386 7.005
Ca Hg P
2 1 1
direct
0.267 0.533 0.299
0.733 0.467 0.701
0.500 0.000 0.000
0.000 0.000 0.500
```

Computed properties:
V: 108.6 Å³ per cell

*x*
This record from Alexandria via LeMat-Bulk describes Ca2HgP at its PBEsol-relaxed geometry. The functional is meta-GGA SCAN.

```
Ca2HgP
1.0
3.563 0.000 0.030
0.000 3.710 0.000
-0.060 0.000 6.952
Hg Ca P
1 2 1
direct
0.500 0.500 0.000
0.000 0.000 0.718
0.000 0.000 0.282
0.500 0.500 0.500
```

Computed properties:
V: 91.9 Å³ per cell

*y*
This record from Alexandria via LeMat-Bulk describes Ca2HgP at its PBEsol-relaxed geometry. The functional is meta-GGA SCAN.

```
Ca2HgP
1.0
-1.749 -1.996 2.860
3.858 0.743 2.878
-2.017 4.118 1.641
Ca P Hg
2 1 1
direct
0.000 0.375 0.500
0.000 0.875 0.000
0.500 0.875 0.500
0.500 0.375 0.000
```

Computed properties:
V: 92.6 Å³ per cell

Least stable = *y*

*w*
This record from Alexandria via LeMat-Bulk describes CaHgRu at its PBEsol-relaxed geometry. The functional is meta-GGA SCAN.

```
CaHgRu
1.0
3.308 0.000 0.000
0.000 4.643 0.000
0.000 -2.321 4.021
Ca Ru Hg
1 1 1
direct
0.500 0.000 0.000
0.000 0.333 0.667
0.000 0.667 0.333
```

Computed properties:
V: 61.8 Å³ per cell

*x*
This record from Alexandria via LeMat-Bulk describes CaHgRu at its PBEsol-relaxed geometry. The functional is meta-GGA SCAN.

```
CaHgRu
1.0
-1.471 -0.701 2.692
-0.202 -1.954 -2.459
5.670 -3.380 2.219
Ru Hg Ca
1 1 1
direct
0.667 0.333 0.333
0.333 0.667 0.647
0.000 0.000 0.019
```

Computed properties:
V: 59.7 Å³ per cell

*y*
This record from Alexandria via LeMat-Bulk describes CaHgRu at its PBEsol-relaxed geometry. The functional is meta-GGA SCAN.

```
CaHgRu
1.0
-0.241 -4.382 -1.433
3.846 -2.529 -0.350
0.775 -3.446 2.972
Hg Ca Ru
1 1 1
direct
0.250 0.250 0.250
0.500 0.500 0.500
0.000 0.000 0.000
```

Computed properties:
V: 69.6 Å³ per cell

Least stable = *y*

*w*
This record from Alexandria via LeMat-Bulk describes SrCaHg2 at its PBEsol-relaxed geometry. The functional is meta-GGA SCAN.

```
SrCaHg2
1.0
5.396 0.000 0.000
2.698 4.673 0.000
2.698 1.558 4.406
Ca Sr Hg
1 1 2
direct
0.500 0.500 0.500
0.000 0.000 0.000
0.750 0.750 0.750
0.250 0.250 0.250
```

Computed properties:
V: 111.1 Å³ per cell

*x*
This record from Alexandria via LeMat-Bulk describes SrCaHg2 at its PBEsol-relaxed geometry. The functional is meta-GGA SCAN.

```
SrCaHg2
1.0
3.814 0.000 0.000
0.000 3.814 0.000
0.000 0.000 7.628
Hg Ca Sr
2 1 1
direct
0.000 0.000 0.768
0.000 0.000 0.232
0.500 0.500 0.000
0.500 0.500 0.500
```

Computed properties:
V: 111.0 Å³ per cell

Least stable = *w*

*w*
This record from Alexandria via LeMat-Bulk describes CaHgTe at its PBEsol-relaxed geometry. The functional is meta-GGA SCAN.

```
CaHgTe
1.0
-1.252 -2.114 3.793
4.380 0.328 -1.064
0.290 4.394 2.545
Ca Te Hg
1 1 1
direct
0.000 0.000 0.003
0.667 0.333 0.334
0.333 0.667 0.663
```

Computed properties:
V: 89.9 Å³ per cell

*x*
This record from Alexandria via LeMat-Bulk describes CaHgTe at its PBEsol-relaxed geometry. The functional is meta-GGA SCAN.

```
CaHgTe
1.0
-2.041 -3.611 0.291
0.893 -0.178 4.057
-3.508 4.282 -1.171
Te Hg Ca
1 1 1
direct
0.338 0.338 0.676
0.670 0.670 0.340
0.992 0.992 0.984
```

Computed properties:
V: 83.6 Å³ per cell

Least stable = *x*

*w*
This record from Alexandria via LeMat-Bulk describes CaY2Hg2 at its PBEsol-relaxed geometry. The functional is meta-GGA SCAN.

```
CaY2Hg2
1.0
-3.504 -0.609 1.275
0.604 -8.108 -2.216
3.095 -1.852 7.617
Hg Y Ca
4 4 2
direct
0.000 0.366 0.866
0.000 0.634 0.134
0.000 0.134 0.366
0.000 0.866 0.634
0.500 0.338 0.162
0.500 0.838 0.338
0.500 0.162 0.662
0.500 0.662 0.838
0.000 0.000 0.000
0.000 0.500 0.500
```

Computed properties:
V: 268.3 Å³ per cell

*x*
This record from Alexandria via LeMat-Bulk describes CaY2Hg2 at its PBEsol-relaxed geometry. The functional is meta-GGA SCAN.

```
CaY2Hg2
1.0
-0.599 2.834 3.573
-3.722 1.778 -2.034
-1.729 -6.967 2.275
Y Ca Hg
2 1 2
direct
0.750 0.250 0.500
0.250 0.750 0.500
0.000 0.000 0.000
0.399 0.399 0.797
0.601 0.601 0.203
```

Computed properties:
V: 143.7 Å³ per cell

Least stable = *x*